This record from Alexandria describes a relaxed TaReB3 crystal. The functional is PBE-GGA.

Output
Its energy relative to the lowest polymorph listed for this composition is 88.3 kJ per mole of atoms. As for the symmetry: Pm-3m. The formation energy comes out at 1.969 eV per atom. For the total moment, the calculation gives 0.592 μB/cell.

Lattice parameters (Å, degrees): 4.0552 4.0552 4.0552 90.00 90.00 90.00
Closest atoms and distances in Å follow each position.
Atoms (fractional coordinates):
Ta 0.0000 0.0000 0.0000  6 B 2.03
Re 0.5000 0.5000 0.5000  12 B 2.87
B 0.0000 0.0000 0.5000  2 Ta 2.03
B 0.0000 0.5000 0.0000  2 Ta 2.03
B 0.5000 0.0000 0.0000  2 Ta 2.03